(1)
PBE NdHgAsO, optimized geometry; symmetry = Pmc2_1 (26); size of the total moment = 0.00 Bohr magnetons per cell
1.0
5.847 0.000 0.000
0.000 4.030 0.000
0.000 0.000 7.346
As Hg Nd O
2 2 2 2
Cartesian
0.000 0.243 1.555
0.000 3.787 5.228
0.000 2.091 3.318
0.000 1.939 6.991
2.923 3.154 0.991
2.923 0.876 4.664
2.923 2.841 3.349
2.923 1.189 7.022



(2)
PBE BeHgAs, optimized geometry; symmetry = F-43m (216)
1.0
0.000 3.016 3.016
3.016 0.000 3.016
3.016 3.016 0.000
As Be Hg
1 1 1
Cartesian
1.508 1.508 1.508
0.000 0.000 0.000
4.524 4.524 4.524



(3)
PBE CsErHgTe3, optimized geometry; symmetry = C2/m (12); size of the total moment = 0.08 Bohr magnetons per cell
1.0
10.161 -2.245 0.000
10.161 2.245 0.000
-1.778 0.000 9.971
Cs Er Hg Te
2 2 2 6
Cartesian
2.910 0.000 0.617
15.635 0.000 9.354
16.046 0.000 4.336
2.499 0.000 5.635
9.220 0.000 2.805
9.324 0.000 7.166
10.161 0.000 0.000
6.349 0.000 2.318
13.095 0.000 3.626
-0.889 0.000 4.986
5.450 0.000 6.345
12.195 0.000 7.654



(4)
PBE Lu2AgGe, optimized geometry; symmetry = F-43m (216); size of the total moment = 0.00 Bohr magnetons per cell
1.0
0.000 3.568 3.568
3.568 0.000 3.568
3.568 3.568 0.000
Ag Ge Lu
1 1 2
Cartesian
1.784 1.784 1.784
3.568 3.568 3.568
0.000 0.000 0.000
5.353 5.353 5.353



(5)
PBE BaPuGe, optimized geometry; symmetry = F-43m (216); size of the total moment = 5.99 Bohr magnetons per cell
1.0
4.532 -1.434 2.130
0.066 -3.425 3.924
1.834 -4.814 -0.774
Ba Ge Pu
1 1 1
Cartesian
0.000 0.000 0.000
1.608 -2.418 1.320
4.824 -7.254 3.960



(6)
PBE W2I, optimized geometry; symmetry = Fd-3m (227); size of the total moment = 18.00 Bohr magnetons per cell
1.0
-8.458 2.139 -1.720
-6.294 -1.504 6.098
-3.809 6.828 4.236
I W
2 4
Cartesian
-4.640 1.866 2.154
-9.281 3.731 4.307
-6.960 2.798 3.230
-11.189 3.868 2.371
-10.108 2.046 6.279
-8.865 6.212 5.348



(7)
PBE SmLuPb, optimized geometry; symmetry = F-43m (216); size of the total moment = 0.02 Bohr magnetons per cell
1.0
1.312 -4.996 0.232
-3.502 -3.529 1.421
-1.875 -3.330 -3.483
Lu Pb Sm
1 1 1
Cartesian
-1.016 -2.964 -0.458
0.000 0.000 0.000
-3.048 -8.892 -1.373



(8)
PBE ZrPb, optimized geometry; symmetry = Pmmn (59); size of the total moment = 0.95 Bohr magnetons per cell
1.0
5.644 0.000 0.000
0.000 13.154 0.000
0.000 0.000 5.372
Pb Zr
8 8
Cartesian
0.027 2.933 0.000
2.593 4.933 0.000
0.027 6.932 0.000
2.751 11.509 0.000
1.854 0.354 2.686
4.774 4.933 2.686
1.854 9.511 2.686
4.932 11.509 2.686
2.902 1.534 0.000
2.902 8.332 0.000
5.597 9.981 0.000
5.597 13.038 0.000
4.623 1.754 2.686
1.928 3.404 2.686
1.928 6.461 2.686
4.623 8.111 2.686



(9)
PBE BeCdAs, optimized geometry; symmetry = F-43m (216)
1.0
0.000 3.117 3.117
3.117 0.000 3.117
3.117 3.117 0.000
As Be Cd
1 1 1
Cartesian
0.000 0.000 0.000
1.558 1.558 1.558
4.675 4.675 4.675



(10)
PBE KTmCdTe3, optimized geometry; symmetry = C2/m (12); size of the total moment = 0.01 Bohr magnetons per cell
1.0
9.685 -2.219 0.000
9.685 2.219 0.000
-2.225 0.000 9.522
Cd K Te Tm
2 2 6 2
Cartesian
9.553 0.000 2.092
7.591 0.000 7.430
15.682 0.000 4.117
1.462 0.000 5.405
0.000 0.000 0.000
6.199 0.000 1.280
12.367 0.000 2.815
8.572 0.000 4.761
4.777 0.000 6.707
10.945 0.000 8.242
3.224 0.000 0.801
13.920 0.000 8.721



(11)
PBE Ho3Cu4Sn2Ge2, optimized geometry; symmetry = Immm (71); size of the total moment = 0.00 Bohr magnetons per cell
1.0
-7.004 -4.272 -0.501
-6.893 2.830 3.470
6.084 0.874 -5.457
Cu Ge Ho Sn
4 2 3 2
Cartesian
-4.770 -1.523 -0.897
-9.700 -2.034 0.157
1.887 1.467 -2.645
-3.044 0.955 -1.592
-3.003 -0.312 0.642
-10.894 -1.130 2.328
0.000 0.000 0.000
-2.338 -1.894 -2.578
-5.475 1.326 0.089
-7.135 -1.409 0.278
-0.678 0.841 -2.766



(12)
PBE CsErSb, optimized geometry; symmetry = F-43m (216); size of the total moment = 0.03 Bohr magnetons per cell
1.0
0.000 3.817 3.817
3.817 0.000 3.817
3.817 3.817 0.000
Cs Er Sb
1 1 1
Cartesian
1.909 1.909 1.909
0.000 0.000 0.000
5.726 5.726 5.726



(13)
PBE NdSc2P3, optimized geometry; symmetry = P-3m1 (164); size of the total moment = 0.00 Bohr magnetons per cell
1.0
-0.405 -0.403 3.862
-2.552 -1.697 -2.418
5.421 -7.803 -0.246
Nd P Sc
1 3 2
Cartesian
2.711 -3.901 -0.123
0.000 0.000 0.000
-0.154 -3.687 -0.401
2.618 -6.215 1.599
-0.275 -2.052 1.730
2.739 -7.851 -0.532



(14)
PBE LiLuAsIr, optimized geometry; symmetry = F-43m (216); size of the total moment = 0.00 Bohr magnetons per cell
1.0
-0.758 -3.049 3.245
-2.802 0.976 3.406
-4.015 -2.050 0.279
As Ir Li Lu
1 1 1 1
Cartesian
0.000 0.000 0.000
-1.894 -1.031 1.732
-5.682 -3.092 5.197
-3.788 -2.061 3.465



(15)
PBE Pt2Pb2O5, optimized geometry; symmetry = P4/mmm (123); size of the total moment = 0.00 Bohr magnetons per cell
1.0
7.173 0.000 0.000
0.000 4.052 0.000
0.000 0.000 4.052
O Pb Pt
5 2 2
Cartesian
1.753 2.026 0.000
5.419 2.026 0.000
1.753 0.000 2.026
5.419 0.000 2.026
3.586 2.026 2.026
0.000 0.000 0.000
3.586 0.000 0.000
1.398 2.026 2.026
5.774 2.026 2.026



(16)
PBE ZnAgBi2, optimized geometry; symmetry = F-43m (216)
1.0
3.863 -2.288 2.736
-1.157 -3.215 3.996
0.840 -5.170 -0.458
Ag Bi Zn
1 2 1
Cartesian
2.659 -8.006 4.706
0.000 0.000 0.000
0.886 -2.669 1.569
1.773 -5.337 3.138



(17)
PBE NaNiTeAu, optimized geometry; symmetry = F-43m (216); size of the total moment = 0.16 Bohr magnetons per cell
1.0
1.719 -4.141 1.548
0.406 -0.807 4.656
-2.876 -3.115 2.127
Au Na Ni Te
1 1 1 1
Cartesian
-0.375 -4.031 4.165
-0.563 -6.047 6.248
-0.188 -2.016 2.083
0.000 0.000 0.000



(18)
PBE Tb2Ta2O5, optimized geometry; symmetry = P4/mmm (123); size of the total moment = 0.01 Bohr magnetons per cell
1.0
-3.860 -5.903 -0.816
3.284 -2.225 0.560
-0.722 -0.073 3.940
O Ta Tb
5 2 2
Cartesian
0.671 -2.598 0.075
-1.246 -5.529 -0.331
-1.332 -1.522 1.765
-3.249 -4.453 1.359
-0.649 -4.100 1.842
0.524 -2.308 2.090
-1.821 -5.893 1.594
0.000 0.000 0.000
-1.930 -2.951 -0.408



(19)
PBE Lu3CuN2, optimized geometry; symmetry = P6_3/mmc (194); size of the total moment = 0.04 Bohr magnetons per cell
1.0
-0.394 -2.806 -1.796
1.899 -0.031 2.765
-15.538 -4.617 10.620
Cu Lu N
2 6 4
Cartesian
-3.885 -1.154 2.655
-11.654 -3.463 7.965
0.000 0.000 0.000
-1.797 -2.525 1.206
-5.231 -3.545 3.552
-7.769 -2.309 5.310
-8.802 -3.909 8.036
-12.236 -4.929 10.383
0.020 -1.287 2.007
-5.519 -2.933 5.792
-8.514 -4.521 5.796
-14.053 -6.167 9.582



(20)
PBE Ni4P2C, optimized geometry; symmetry = P4_2/mnm (136); size of the total moment = 0.03 Bohr magnetons per cell
1.0
6.630 0.000 0.000
0.000 6.630 0.000
0.000 0.000 3.663
C Ni P
2 8 4
Cartesian
0.000 0.000 0.000
3.315 3.315 1.832
3.158 1.290 0.000
1.290 3.158 0.000
5.341 3.473 0.000
3.473 5.341 0.000
4.605 0.158 1.832
6.473 2.025 1.832
0.158 4.605 1.832
2.025 6.473 1.832
5.421 1.210 0.000
1.210 5.421 0.000
2.105 2.105 1.832
4.525 4.525 1.832



| no. | electronic total energy (eV/f.u.) | V (A^3/atom) |
| --- | --- | --- |
| 1 | -20.06 | 21.6 |
| 2 | -7.84 | 18.3 |
| 3 | -20.28 | 37.9 |
| 4 | -16.36 | 22.7 |
| 5 | -19.39 | 33.3 |
| 6 | -14.64 | 82.9 |
| 7 | -13.43 | 32.6 |
| 8 | -12.32 | 24.9 |
| 9 | -7.85 | 20.2 |
| 10 | -21.60 | 34.1 |
| 11 | -51.59 | 19.2 |
| 12 | -9.37 | 37.1 |
| 13 | -42.45 | 20.9 |
| 14 | -22.68 | 16.3 |
| 15 | -48.48 | 13.1 |
| 16 | -11.19 | 25.7 |
| 17 | -13.27 | 18.9 |
| 18 | -79.39 | 12.7 |
| 19 | -41.13 | 15.7 |
| 20 | -41.34 | 11.5 |